Computed, not measured: a relaxed Ca2Nd3UN6 crystal at the GGA-PBE level of DFT.

```
12
Lattice="3.0886 -5.3361 0.0000 3.0886 5.3361 0.0000 -2.0485 0.0000 5.8272" Properties=species:S:1:pos:R:3 pbc="T T T"
Ca 3.0886 3.5619 0.0000
Ca 3.0886 -3.5619 0.0000
Nd -1.0243 0.0000 2.9136
Nd 2.0643 1.7894 2.9136
Nd 2.0643 -1.7894 2.9136
U 3.0886 0.0000 0.0000
N 0.1289 1.5718 4.4694
N 1.2633 0.0000 1.3731
N 0.1289 -1.5718 4.4694
N 3.9996 1.5718 1.3578
N 2.8653 0.0000 4.4541
N 3.9996 -1.5718 1.3578
```

Output
Size of the total moment ... 0.00 μB/f.u.
E_form (uncorrected) ... -1.338 eV/atom
Raw total energy ... -7.97 eV per atom
Mass density ... 7.22 g cm⁻³